PBE-GGA SrTl2VAg, optimized geometry; V = 148.3 Å³ per cell; formation energy = 0.263 eV/atom; symmetry = P4/mmm; Fermi-level density of states = 0.6863 states/eV per atom; M_tot = 2.62 μB/f.u.
1.0
5.310 0.000 0.000
0.000 5.259 0.000
0.000 0.000 5.310
Ag Sr Tl V
1 1 2 1
Direct
0.000 0.500 0.000 Ag
0.500 0.500 0.500 Sr
0.500 0.000 0.000 Tl
0.000 0.000 0.500 Tl
0.000 0.000 0.000 V